Cd3Pt: single point on PBEsol structure, meta-GGA SCAN.

Results
**E_tot**: -40.5065 eV per atom

Unit cell a=5.851 b=8.279 c=2.982 alpha=90.00 beta=90.00 gamma=90.00
Fractional positions:
Cd 0.000 0.000 0.000
Cd 0.250 0.250 0.500
Cd 0.250 0.750 0.500
Cd 0.500 0.500 0.000
Cd 0.750 0.250 0.500
Cd 0.750 0.750 0.500
Pt 0.000 0.500 0.000
Pt 0.500 0.000 0.000